[1]
An optimized crystal structure of Rb2ZrSe3. Source: OQMD via LeMat-Bulk, functional PBE.

a b c (Å): 9.581 9.581 5.944
angles (deg): 90.00 90.00 155.84
Fractional positions:
Rb 0.141 0.859 0.000
Rb 0.859 0.141 0.000
Zr 0.500 0.500 0.500
Se 0.098 0.902 0.500
Se 0.500 0.500 0.000
Se 0.902 0.098 0.500

Results
Uncorrected energy in eV per cell: -27.38
Space-group type: No. 65

[2]
An optimized crystal structure of PmMgNi4. Source: OQMD via LeMat-Bulk, functional PBE.

a b c (Å): 4.968 4.968 4.968
angles (deg): 60.00 60.00 60.00
Fractional positions:
Pm 0.000 0.000 0.000
Mg 0.750 0.750 0.750
Ni 0.377 0.377 0.377
Ni 0.377 0.377 0.870
Ni 0.377 0.870 0.377
Ni 0.870 0.377 0.377

Results
Uncorrected energy in eV per cell: -30.66
Space-group type: No. 216

[3]
An optimized crystal structure of Hg3Te2IBr. Source: OQMD via LeMat-Bulk, functional PBE.

a b c (Å): 10.455 10.455 10.709
angles (deg): 90.12 90.12 54.87
Fractional positions:
Hg 0.000 0.000 0.000
Hg 0.017 0.437 0.293
Hg 0.127 0.124 0.704
Hg 0.264 0.691 0.721
Hg 0.280 0.229 0.999
Hg 0.309 0.736 0.279
Hg 0.453 0.299 0.302
Hg 0.541 0.459 0.000
Hg 0.563 0.983 0.707
Hg 0.701 0.547 0.698
Hg 0.771 0.720 0.001
Hg 0.876 0.873 0.296
Te 0.025 0.016 0.253
Te 0.281 0.261 0.745
Te 0.300 0.162 0.248
Te 0.547 0.410 0.748
Te 0.590 0.453 0.252
Te 0.739 0.719 0.255
Te 0.838 0.700 0.752
Te 0.984 0.975 0.747
I 0.163 0.587 0.474
I 0.168 0.591 0.028
I 0.409 0.832 0.972
I 0.413 0.837 0.526
Br 0.661 0.080 0.022
Br 0.667 0.089 0.496
Br 0.911 0.333 0.504
Br 0.920 0.339 0.978

Results
Uncorrected energy in eV per cell: -49.20
Space-group type: No. 5

[4]
An optimized crystal structure of HfTe2Pd2. Source: OQMD via LeMat-Bulk, functional PBE.

a b c (Å): 6.678 6.678 6.678
angles (deg): 142.06 142.06 54.74
Fractional positions:
Hf 0.000 0.000 0.000
Te 0.250 0.750 0.500
Te 0.750 0.250 0.500
Pd 0.392 0.392 0.000
Pd 0.608 0.608 0.000

Results
Uncorrected energy in eV per cell: -25.85
Space-group type: No. 139